Entry from the Open Quantum Materials Database: a relaxed NdPbAuSe3 crystal (PBE-GGA).

Calculated values
Its crystal system is orthorhombic. Its space group is Cmcm (63). Its mass density is 8.20 g/cm3. Its energy above the lowest structure with this stoichiometry is 0 meV per atom.

Cell and atoms, written as CIF:
```
data_NdPbAuSe3
_chemical_formula_sum 'Nd2 Pb2 Au2 Se6'
_cell_length_a 7.276
_cell_length_b 7.276
_cell_length_c 10.948
_cell_angle_alpha 90.00
_cell_angle_beta 90.00
_cell_angle_gamma 146.72
_space_group_name_H-M_alt 'P 1'
_space_group_IT_number 1
loop_
_space_group_symop_operation_xyz
'x,y,z'
loop_
_atom_site_label
_atom_site_type_symbol
_atom_site_fract_x
_atom_site_fract_y
_atom_site_fract_z
_atom_site_occupancy
Au1 Au 0.968 0.032 0.250 1
Au2 Au 0.032 0.968 0.750 1
Nd1 Nd 0.500 0.500 0.000 1
Nd2 Nd 0.500 0.500 0.500 1
Pb1 Pb 0.266 0.734 0.250 1
Pb2 Pb 0.734 0.266 0.750 1
Se1 Se 0.853 0.147 0.061 1
Se2 Se 0.592 0.408 0.250 1
Se3 Se 0.853 0.147 0.439 1
Se4 Se 0.147 0.853 0.561 1
Se5 Se 0.408 0.592 0.750 1
Se6 Se 0.147 0.853 0.939 1
```



Entry from the Open Quantum Materials Database: a relaxed SrTbCuTe2S crystal (PBE-GGA).

Calculated values
Its crystal system is orthorhombic. Its space group is Cmcm (63). Its mass density is 6.21 g/cm3.

Cell and atoms, written as CIF:
```
data_SrTbCuTe2S
_chemical_formula_sum 'Sr2 Tb2 Cu2 Te4 S2'
_cell_length_a 7.536
_cell_length_b 7.536
_cell_length_c 10.528
_cell_angle_alpha 90.00
_cell_angle_beta 90.00
_cell_angle_gamma 147.69
_space_group_name_H-M_alt 'P 1'
_space_group_IT_number 1
loop_
_space_group_symop_operation_xyz
'x,y,z'
loop_
_atom_site_label
_atom_site_type_symbol
_atom_site_fract_x
_atom_site_fract_y
_atom_site_fract_z
_atom_site_occupancy
Cu1 Cu 0.979 0.021 0.250 1
Cu2 Cu 0.021 0.979 0.750 1
S1 S 0.565 0.435 0.250 1
S2 S 0.435 0.565 0.750 1
Sr1 Sr 0.220 0.780 0.250 1
Sr2 Sr 0.780 0.220 0.750 1
Tb1 Tb 0.500 0.500 0.000 1
Tb2 Tb 0.500 0.500 0.500 1
Te1 Te 0.853 0.147 0.066 1
Te2 Te 0.853 0.147 0.434 1
Te3 Te 0.147 0.853 0.566 1
Te4 Te 0.147 0.853 0.934 1
```



Entry from the Open Quantum Materials Database: a relaxed ScPd2Au crystal (PBE-GGA).

Calculated values
Its crystal system is cubic. As for the energy relative to the elements: -0.665 eV per atom. Its space group is F-43m (216). Its mass density is 11.05 g/cm3. Its energy above the lowest structure with this stoichiometry is 176 meV per atom.

Cell and atoms, written as CIF:
```
data_ScPd2Au
_chemical_formula_sum 'Sc1 Pd2 Au1'
_cell_length_a 4.589
_cell_length_b 4.589
_cell_length_c 4.589
_cell_angle_alpha 60.00
_cell_angle_beta 60.00
_cell_angle_gamma 60.00
_space_group_name_H-M_alt 'P 1'
_space_group_IT_number 1
loop_
_space_group_symop_operation_xyz
'x,y,z'
loop_
_atom_site_label
_atom_site_type_symbol
_atom_site_fract_x
_atom_site_fract_y
_atom_site_fract_z
_atom_site_occupancy
Au1 Au 0.500 0.500 0.500 1
Pd1 Pd 0.000 0.000 0.000 1
Pd2 Pd 0.250 0.250 0.250 1
Sc1 Sc 0.750 0.750 0.750 1
```



Entry from the Open Quantum Materials Database: a relaxed NbInAg6 crystal (PBE-GGA).

Calculated values
Its crystal system is trigonal. Its space group is R-3 (148). Its mass density is 9.54 g/cm3.

Cell and atoms, written as CIF:
```
data_NbInAg6
_chemical_formula_sum 'Nb1 In1 Ag6'
_cell_length_a 5.324
_cell_length_b 5.324
_cell_length_c 5.326
_cell_angle_alpha 84.11
_cell_angle_beta 84.12
_cell_angle_gamma 84.11
_space_group_name_H-M_alt 'P 1'
_space_group_IT_number 1
loop_
_space_group_symop_operation_xyz
'x,y,z'
loop_
_atom_site_label
_atom_site_type_symbol
_atom_site_fract_x
_atom_site_fract_y
_atom_site_fract_z
_atom_site_occupancy
Ag1 Ag 0.251 0.491 0.014 1
Ag2 Ag 0.491 0.014 0.251 1
Ag3 Ag 0.014 0.251 0.491 1
Ag4 Ag 0.986 0.749 0.509 1
Ag5 Ag 0.509 0.986 0.749 1
Ag6 Ag 0.749 0.509 0.986 1
In1 In 0.000 0.000 0.000 1
Nb1 Nb 0.500 0.500 0.500 1
```



Entry from the Open Quantum Materials Database: a relaxed Cs2Ni crystal (PBE-GGA).

Calculated values
Its crystal system is cubic. Its space group is Fd-3m (227). Its mass density is 1.61 g/cm3.

Cell and atoms, written as CIF:
```
data_Cs2Ni
_chemical_formula_sum 'Cs4 Ni2'
_cell_length_a 9.812
_cell_length_b 9.812
_cell_length_c 9.812
_cell_angle_alpha 60.00
_cell_angle_beta 60.00
_cell_angle_gamma 60.00
_space_group_name_H-M_alt 'P 1'
_space_group_IT_number 1
loop_
_space_group_symop_operation_xyz
'x,y,z'
loop_
_atom_site_label
_atom_site_type_symbol
_atom_site_fract_x
_atom_site_fract_y
_atom_site_fract_z
_atom_site_occupancy
Cs1 Cs 0.875 0.375 0.375 1
Cs2 Cs 0.375 0.875 0.375 1
Cs3 Cs 0.375 0.375 0.375 1
Cs4 Cs 0.375 0.375 0.875 1
Ni1 Ni 0.250 0.250 0.250 1
Ni2 Ni 0.500 0.500 0.500 1
```



Entry from the Open Quantum Materials Database: a relaxed Ho3ErLu2Bi2Os crystal (PBE-GGA).

Calculated values
Its crystal system is orthorhombic. Its space group is Amm2 (38). Its mass density is 10.96 g/cm3.

Cell and atoms, written as CIF:
```
data_Ho3ErLu2Bi2Os
_chemical_formula_sum 'Ho3 Er1 Lu2 Bi2 Os1'
_cell_length_a 4.221
_cell_length_b 8.198
_cell_length_c 8.198
_cell_angle_alpha 120.10
_cell_angle_beta 90.00
_cell_angle_gamma 90.00
_space_group_name_H-M_alt 'P 1'
_space_group_IT_number 1
loop_
_space_group_symop_operation_xyz
'x,y,z'
loop_
_atom_site_label
_atom_site_type_symbol
_atom_site_fract_x
_atom_site_fract_y
_atom_site_fract_z
_atom_site_occupancy
Bi1 Bi 0.000 0.668 0.333 1
Bi2 Bi 0.000 0.333 0.668 1
Er1 Er 0.000 0.232 0.232 1
Ho1 Ho 0.500 0.000 0.386 1
Ho2 Ho 0.500 0.616 0.616 1
Ho3 Ho 0.500 0.386 0.000 1
Lu1 Lu 0.000 0.769 0.000 1
Lu2 Lu 0.000 0.000 0.769 1
Os1 Os 0.500 0.997 0.997 1
```



Entry from the Open Quantum Materials Database: a relaxed LiTmBi crystal (PBE-GGA).

Calculated values
Its crystal system is cubic. Its space group is F-43m (216). Its mass density is 7.18 g/cm3. Its energy above the lowest structure with this stoichiometry is 231 meV per atom.

Cell and atoms, written as CIF:
```
data_LiTmBi
_chemical_formula_sum 'Li1 Tm1 Bi1'
_cell_length_a 5.011
_cell_length_b 5.011
_cell_length_c 5.011
_cell_angle_alpha 60.00
_cell_angle_beta 60.00
_cell_angle_gamma 60.00
_space_group_name_H-M_alt 'P 1'
_space_group_IT_number 1
loop_
_space_group_symop_operation_xyz
'x,y,z'
loop_
_atom_site_label
_atom_site_type_symbol
_atom_site_fract_x
_atom_site_fract_y
_atom_site_fract_z
_atom_site_occupancy
Bi1 Bi 0.250 0.250 0.250 1
Li1 Li 0.750 0.750 0.750 1
Tm1 Tm 0.000 0.000 0.000 1
```



Entry from the Open Quantum Materials Database: a relaxed KNbSi crystal (PBE-GGA).

Calculated values
Its crystal system is cubic. Its space group is F-43m (216). Its mass density is 3.30 g/cm3. Its energy above the lowest structure with this stoichiometry is 959 meV per atom.

Cell and atoms, written as CIF:
```
data_KNbSi
_chemical_formula_sum 'K1 Nb1 Si1'
_cell_length_a 4.846
_cell_length_b 4.846
_cell_length_c 4.846
_cell_angle_alpha 60.00
_cell_angle_beta 60.00
_cell_angle_gamma 60.00
_space_group_name_H-M_alt 'P 1'
_space_group_IT_number 1
loop_
_space_group_symop_operation_xyz
'x,y,z'
loop_
_atom_site_label
_atom_site_type_symbol
_atom_site_fract_x
_atom_site_fract_y
_atom_site_fract_z
_atom_site_occupancy
K1 K 0.000 0.000 0.000 1
Nb1 Nb 0.250 0.250 0.250 1
Si1 Si 0.750 0.750 0.750 1
```



Entry from the Open Quantum Materials Database: a relaxed KLiMoPd crystal (PBE-GGA).

Calculated values
Its crystal system is cubic. Its space group is F-43m (216). Its mass density is 5.75 g/cm3. Its energy above the lowest structure with this stoichiometry is 26 meV per atom.

Cell and atoms, written as CIF:
```
data_KLiMoPd
_chemical_formula_sum 'K1 Li1 Mo1 Pd1'
_cell_length_a 4.664
_cell_length_b 4.664
_cell_length_c 4.664
_cell_angle_alpha 60.00
_cell_angle_beta 60.00
_cell_angle_gamma 60.00
_space_group_name_H-M_alt 'P 1'
_space_group_IT_number 1
loop_
_space_group_symop_operation_xyz
'x,y,z'
loop_
_atom_site_label
_atom_site_type_symbol
_atom_site_fract_x
_atom_site_fract_y
_atom_site_fract_z
_atom_site_occupancy
K1 K 0.000 0.000 0.000 1
Li1 Li 0.750 0.750 0.750 1
Mo1 Mo 0.250 0.250 0.250 1
Pd1 Pd 0.500 0.500 0.500 1
```



Entry from the Open Quantum Materials Database: a relaxed YAgSeS crystal (PBE-GGA).

Calculated values
Its crystal system is monoclinic. Its space group is P2_1 (4). Its mass density is 5.44 g/cm3.

Cell and atoms, written as CIF:
```
data_YAgSeS
_chemical_formula_sum 'Y2 Ag2 Se2 S2'
_cell_length_a 4.226
_cell_length_b 6.669
_cell_length_c 6.669
_cell_angle_alpha 90.00
_cell_angle_beta 91.14
_cell_angle_gamma 90.00
_space_group_name_H-M_alt 'P 1'
_space_group_IT_number 1
loop_
_space_group_symop_operation_xyz
'x,y,z'
loop_
_atom_site_label
_atom_site_type_symbol
_atom_site_fract_x
_atom_site_fract_y
_atom_site_fract_z
_atom_site_occupancy
Ag1 Ag 0.501 0.503 0.251 1
Ag2 Ag 0.499 0.003 0.749 1
S1 S 0.233 0.799 0.451 1
S2 S 0.767 0.299 0.549 1
Se1 Se 0.214 0.201 0.049 1
Se2 Se 0.786 0.701 0.951 1
Y1 Y 0.714 0.997 0.265 1
Y2 Y 0.286 0.497 0.735 1
```



Entry from the Open Quantum Materials Database: a relaxed K2AgSnCl6 crystal (PBE-GGA).

Calculated values
Its crystal system is monoclinic. Its space group is P2_1/c (14). Its mass density is 3.07 g/cm3.

Cell and atoms, written as CIF:
```
data_K2AgSnCl6
_chemical_formula_sum 'K4 Ag2 Sn2 Cl12'
_cell_length_a 7.201
_cell_length_b 7.501
_cell_length_c 12.598
_cell_angle_alpha 90.00
_cell_angle_beta 124.72
_cell_angle_gamma 90.00
_space_group_name_H-M_alt 'P 1'
_space_group_IT_number 1
loop_
_space_group_symop_operation_xyz
'x,y,z'
loop_
_atom_site_label
_atom_site_type_symbol
_atom_site_fract_x
_atom_site_fract_y
_atom_site_fract_z
_atom_site_occupancy
Ag1 Ag 0.500 0.500 0.000 1
Ag2 Ag 0.500 0.000 0.500 1
Cl1 Cl 0.234 0.704 0.038 1
Cl2 Cl 0.343 0.198 0.044 1
Cl3 Cl 0.168 0.015 0.249 1
Cl4 Cl 0.832 0.515 0.251 1
Cl5 Cl 0.657 0.698 0.456 1
Cl6 Cl 0.766 0.204 0.462 1
Cl7 Cl 0.234 0.796 0.538 1
Cl8 Cl 0.343 0.302 0.544 1
Cl9 Cl 0.168 0.485 0.749 1
Cl10 Cl 0.832 0.985 0.751 1
Cl11 Cl 0.657 0.802 0.956 1
Cl12 Cl 0.766 0.296 0.962 1
K1 K 0.731 0.932 0.249 1
K2 K 0.269 0.432 0.251 1
K3 K 0.731 0.568 0.749 1
K4 K 0.269 0.068 0.751 1
Sn1 Sn 0.000 0.000 0.000 1
Sn2 Sn 0.000 0.500 0.500 1
```



Entry from the Open Quantum Materials Database: a relaxed AcAgMo crystal (PBE-GGA).

Calculated values
Its crystal system is cubic. As for the energy relative to the elements: 1.357 eV per atom. Its space group is F-43m (216). Its mass density is 8.11 g/cm3. Its energy above the lowest structure with this stoichiometry is 423 meV per atom.

Cell and atoms, written as CIF:
```
data_AcAgMo
_chemical_formula_sum 'Ac1 Ag1 Mo1'
_cell_length_a 4.997
_cell_length_b 4.997
_cell_length_c 4.997
_cell_angle_alpha 60.00
_cell_angle_beta 60.00
_cell_angle_gamma 60.00
_space_group_name_H-M_alt 'P 1'
_space_group_IT_number 1
loop_
_space_group_symop_operation_xyz
'x,y,z'
loop_
_atom_site_label
_atom_site_type_symbol
_atom_site_fract_x
_atom_site_fract_y
_atom_site_fract_z
_atom_site_occupancy
Ac1 Ac 0.000 0.000 0.000 1
Ag1 Ag 0.250 0.250 0.250 1
Mo1 Mo 0.750 0.750 0.750 1
```



| no. | total DFT energy (no corrections) (eV/atom) |
| --- | --- |
| 1 | -4.64 |
| 2 | -4.76 |
| 3 | -5.65 |
| 4 | -3.42 |
| 5 | -1.65 |
| 6 | -5.76 |
| 7 | -3.63 |
| 8 | -3.46 |
| 9 | -3.81 |
| 10 | -5.50 |
| 11 | -3.28 |
| 12 | -4.57 |